[1]
This record from the Alexandria database describes a relaxed Tb2AlSi2Ru5 crystal. The functional is GGA-PBE.

Summary:
Calculated volume (Å³ per cell): 321.75
Spin magnetization (μB per formula unit): 0.00
Raw formation energy (meV/atom): -654
Density (Mg/m³): 9.355

Structure (POSCAR):
```
Tb2AlSi2Ru5
1.0
3.235 0.000 0.000
0.000 9.973 0.000
0.000 0.000 9.973
Tb Al Si Ru
4 2 4 10
direct
0.000 0.673 0.173
0.000 0.327 0.827
0.000 0.173 0.327
0.000 0.827 0.673
0.000 0.000 0.000
0.000 0.500 0.500
0.000 0.128 0.628
0.000 0.872 0.372
0.000 0.628 0.872
0.000 0.372 0.128
0.500 0.207 0.067
0.500 0.793 0.933
0.500 0.067 0.793
0.500 0.707 0.433
0.500 0.933 0.207
0.500 0.293 0.567
0.500 0.567 0.707
0.500 0.433 0.293
0.500 0.500 0.000
0.500 0.000 0.500
```


[2]
This record from the Alexandria database describes a relaxed Nb6NiRu crystal. The functional is GGA-PBE.

Summary:
Calculated volume (Å³ per cell): 135.57
Calculated total energy (eV per atom): -9.5347
Spin magnetization (μB per formula unit): 0.00
Density (Mg/m³): 8.785

Structure (POSCAR):
```
Nb6NiRu
1.0
-1.147 -4.448 -0.362
3.490 -1.127 2.790
-2.684 -2.206 6.270
Nb Ni Ru
6 1 1
direct
0.749 0.749 0.501
0.622 0.122 0.757
0.122 0.622 0.757
0.378 0.878 0.243
0.251 0.251 0.499
0.878 0.378 0.243
0.500 0.500 0.000
0.000 0.000 0.000
```


[3]
This record from the Alexandria database describes a relaxed RbTeN2 crystal. The functional is GGA-PBE.

Summary:
Calculated volume (Å³ per cell): 77.06
Spin magnetization (μB per formula unit): 0.00
Raw formation energy (meV/atom): 974
Density (Mg/m³): 5.195

Structure (POSCAR):
```
RbTeN2
1.0
0.241 -7.643 2.040
1.652 -7.667 -1.060
3.540 -6.880 1.665
Te Rb N
1 1 2
direct
0.500 0.500 0.500
0.000 0.000 0.000
0.882 0.882 0.882
0.118 0.118 0.118
```


[4]
This record from the Alexandria database describes a relaxed NdTh2In crystal. The functional is GGA-PBE.

Summary:
Calculated volume (Å³ per cell): 122.03
Distance to the lowest polymorph of the same formula (meV per atom): 0
Spin magnetization (μB per formula unit): 0.00
Density (Mg/m³): 9.840

Structure (POSCAR):
```
NdTh2In
1.0
-0.391 4.279 -2.704
-4.645 -1.118 -1.098
-1.522 2.390 4.001
Nd Th In
1 2 1
direct
0.500 0.500 0.500
0.000 0.000 0.500
0.000 0.500 0.000
0.500 0.000 0.000
```


[5]
This record from the Alexandria database describes a relaxed Sb2SeBr crystal. The functional is GGA-PBE.

Summary:
Calculated volume (Å³ per cell): 111.24
Distance to the lowest polymorph of the same formula (meV per atom): 177
Spin magnetization (μB per formula unit): 0.00
Raw formation energy (meV/atom): 38
Density (Mg/m³): 6.007

Structure (POSCAR):
```
Sb2SeBr
1.0
9.512 -0.026 -0.015
8.793 3.627 -0.015
8.793 1.730 3.188
Br Sb Se
1 2 1
direct
0.746 0.746 0.746
0.998 0.998 0.998
0.243 0.243 0.243
0.513 0.513 0.513
```


[6]
This record from the Alexandria database describes a relaxed Sc4CrAu crystal. The functional is GGA-PBE.

Summary:
Calculated volume (Å³ per cell): 127.04
Calculated total energy (eV per atom): -5.9902
Spin magnetization (μB per formula unit): 2.96
Density (Mg/m³): 5.604

Structure (POSCAR):
```
Sc4CrAu
1.0
-5.529 0.433 1.043
-3.111 3.786 -2.798
-3.742 -1.720 -3.858
Sc Cr Au
4 1 1
direct
0.375 0.876 0.375
0.876 0.375 0.375
0.375 0.375 0.876
0.375 0.375 0.375
0.000 0.000 0.000
0.750 0.750 0.750
```